Run one
VASP calculation (PBE) on a geometry-optimized Tb5Sm2Dy4 structure.

Cell lengths 3.4997, 9.0533, 12.5902 Å; angles 111.07, 97.99, 90.00 degrees
Closest atoms and distances in Å follow each position.
Atoms (fractional coordinates):
Tb  0.1436  0.3407  0.2872  1 Sm 3.40, 3 Dy 3.43-3.49, 3 Tb 3.50-3.57
Tb  0.8564  0.6593  0.7128  1 Sm 3.40, 3 Dy 3.43-3.49, 3 Tb 3.50-3.57
Tb  0.1436  0.9465  0.2872  1 Sm 3.40, 3 Dy 3.43-3.49, 3 Tb 3.50-3.57
Tb  0.5000  0.0000  0.0000  4 Dy 3.30, 2 Tb 3.50
Tb  0.8564  0.0535  0.7128  1 Sm 3.40, 3 Dy 3.43-3.49, 3 Tb 3.50-3.57
Dy  0.0000  0.3089  0.0000  4 Tb 3.30-3.49, 7 Dy 3.34-3.50
Dy  0.4031  0.4031  0.8063  1 Sm 3.13, 6 Dy 3.34-3.50, 4 Tb 3.43
Dy  0.0000  0.6911  0.0000  4 Tb 3.30-3.49, 7 Dy 3.34-3.50
Dy  0.5969  0.5969  0.1937  1 Sm 3.13, 6 Dy 3.34-3.50, 4 Tb 3.43
Sm  0.2684  0.2684  0.5368  1 Dy 3.13, 2 Tb 3.40, 2 Sm 3.50
Sm  0.7316  0.7316  0.4632  1 Dy 3.13, 2 Tb 3.40, 2 Sm 3.50

V	368.08	Å³/cell



Run two
VASP calculation (PBE) on a geometry-optimized Tb5Sm2Dy4 structure.

Cell lengths 3.5342, 8.7992, 11.7003 Å; angles 95.24, 90.03, 101.59 degrees
Closest atoms and distances in Å follow each position.
Atoms (fractional coordinates):
Dy  0.7326  0.4634  0.3536  5 Tb 3.41-3.77, 4 Dy 3.53-3.76, 2 Sm 3.60
Dy  0.8207  0.6424  0.9265  3 Sm 3.33-3.53, 4 Dy 3.53-3.59, 3 Tb 3.56-3.59
Dy  0.1793  0.3576  0.0735  3 Sm 3.33-3.53, 4 Dy 3.53-3.59, 3 Tb 3.56-3.59
Dy  0.2674  0.5366  0.6464  5 Tb 3.41-3.77, 4 Dy 3.53-3.76, 2 Sm 3.60
Tb  0.0401  0.0803  0.2810  8 Tb 3.53-3.74, 3 Dy 3.56-3.77, 2 Sm 3.60
Tb  0.4081  0.8150  0.4572  1 Sm 3.19, 3 Tb 3.25-3.53, 1 Dy 3.41
Tb  0.5000  0.0000  0.0000  2 Sm 3.35, 6 Tb 3.53-3.74, 4 Dy 3.59
Tb  0.5919  0.1850  0.5428  1 Sm 3.19, 3 Tb 3.25-3.53, 1 Dy 3.41
Tb  0.9599  0.9197  0.7190  8 Tb 3.53-3.74, 3 Dy 3.56-3.77, 2 Sm 3.60
Sm  0.3643  0.7274  0.1863  2 Tb 3.19-3.35, 3 Dy 3.33-3.53, 2 Sm 3.53
Sm  0.6357  0.2726  0.8137  2 Tb 3.19-3.35, 3 Dy 3.33-3.53, 2 Sm 3.53

V	354.89	Å³/cell



From most stable to least stable, the computed energies give run two, run one.



Run one
VASP calculation (PBE) on a geometry-optimized Tb5Sm2Dy12 structure.

Cell lengths 6.1558, 11.2311, 15.4954 Å; angles 142.92, 109.38, 79.48 degrees
Closest atoms and distances in Å follow each position.
Atoms (fractional coordinates):
Dy  0.0532  0.5801  0.3952  7 Dy 3.54-3.56, 4 Tb 3.54-3.56, 1 Sm 3.56
Dy  0.8948  0.8415  0.7093  4 Tb 3.54-3.56, 6 Dy 3.54-3.57, 2 Sm 3.57
Dy  0.6321  0.9475  0.2377  7 Dy 3.54-3.56, 4 Tb 3.54-3.56, 1 Sm 3.56
Dy  0.2103  0.3173  0.0791  3 Tb 3.54-3.57, 6 Dy 3.55-3.57, 3 Sm 3.56-3.57
Dy  0.9468  0.4199  0.6048  7 Dy 3.54-3.56, 4 Tb 3.54-3.56, 1 Sm 3.56
Dy  0.3679  0.0525  0.7623  7 Dy 3.54-3.56, 4 Tb 3.54-3.56, 1 Sm 3.56
Dy  0.5270  0.7900  0.4475  7 Dy 3.54-3.56, 5 Tb 3.55-3.56
Dy  0.4730  0.2100  0.5525  7 Dy 3.54-3.56, 5 Tb 3.55-3.56
Dy  0.1052  0.1585  0.2907  4 Tb 3.54-3.56, 6 Dy 3.54-3.57, 2 Sm 3.57
Dy  0.6844  0.5275  0.1319  7 Dy 3.54-3.56, 4 Tb 3.55-3.56, 1 Sm 3.55
Dy  0.7897  0.6827  0.9209  3 Tb 3.54-3.57, 6 Dy 3.55-3.57, 3 Sm 3.56-3.57
Dy  0.3156  0.4725  0.8681  7 Dy 3.54-3.56, 4 Tb 3.55-3.56, 1 Sm 3.55
Sm  0.7365  0.1059  0.0263  8 Dy 3.55-3.57, 2 Sm 3.56, 2 Tb 3.56-3.57
Sm  0.2635  0.8941  0.9737  8 Dy 3.55-3.57, 2 Sm 3.56, 2 Tb 3.56-3.57
Tb  0.5790  0.3697  0.3432  9 Dy 3.54-3.57, 1 Tb 3.54, 2 Sm 3.56-3.57
Tb  0.8416  0.2629  0.8155  10 Dy 3.54-3.56, 2 Tb 3.56
Tb  0.4210  0.6303  0.6568  9 Dy 3.54-3.57, 1 Tb 3.54, 2 Sm 3.56-3.57
Tb  0.1584  0.7371  0.1845  10 Dy 3.54-3.56, 2 Tb 3.56
Tb  0.0000  0.0000  0.5000  10 Dy 3.54-3.56, 2 Tb 3.56

V	602.94	Å³/cell



Run two
VASP calculation (PBE) on a geometry-optimized Tb5Sm2Dy12 structure.

Cell lengths 9.2325, 12.3585, 8.5512 Å; angles 132.56, 90.00, 111.93 degrees
Closest atoms and distances in Å follow each position.
Atoms (fractional coordinates):
Sm  0.6794  0.0000  0.0000  1 Sm 3.31, 8 Dy 3.40-3.58, 2 Tb 3.54
Sm  0.3206  0.0000  0.0000  1 Sm 3.31, 8 Dy 3.40-3.58, 2 Tb 3.54
Tb  0.3004  0.6008  0.6136  8 Dy 3.43-3.66, 2 Sm 3.54, 1 Tb 3.68
Tb  0.0000  0.0000  0.5000  10 Dy 3.51-3.71, 2 Tb 3.66
Tb  0.6996  0.3992  0.3864  8 Dy 3.43-3.66, 2 Sm 3.54, 1 Tb 3.68
Tb  0.7692  0.5383  0.1117  8 Dy 3.37-3.50, 2 Tb 3.66-3.68
Tb  0.2308  0.4617  0.8883  8 Dy 3.37-3.50, 2 Tb 3.66-3.68
Dy  0.5644  0.7461  0.4048  4 Tb 3.37-3.71, 5 Dy 3.41-3.53, 1 Sm 3.58
Dy  0.5585  0.1169  0.7841  2 Tb 3.38-3.56, 2 Sm 3.40, 7 Dy 3.41-3.45
Dy  0.6659  0.6922  0.9342  4 Dy 3.33-3.63, 1 Sm 3.40, 4 Tb 3.48-3.71
Dy  0.9737  0.3078  0.0658  4 Dy 3.33-3.63, 1 Sm 3.40, 4 Tb 3.48-3.71
Dy  0.4356  0.2539  0.5952  4 Tb 3.37-3.71, 5 Dy 3.41-3.53, 1 Sm 3.58
Dy  0.3341  0.3078  0.0658  4 Dy 3.33-3.63, 1 Sm 3.40, 4 Tb 3.48-3.71
Dy  0.9115  0.8231  0.7043  3 Tb 3.43-3.51, 2 Sm 3.43, 5 Dy 3.48-3.63
Dy  0.4415  0.8831  0.2159  2 Tb 3.38-3.56, 2 Sm 3.40, 7 Dy 3.41-3.45
Dy  0.0263  0.6922  0.9342  4 Dy 3.33-3.63, 1 Sm 3.40, 4 Tb 3.48-3.71
Dy  0.1817  0.7461  0.4048  4 Tb 3.37-3.71, 5 Dy 3.41-3.53, 1 Sm 3.58
Dy  0.8183  0.2539  0.5952  4 Tb 3.37-3.71, 5 Dy 3.41-3.53, 1 Sm 3.58
Dy  0.0885  0.1769  0.2957  3 Tb 3.43-3.51, 2 Sm 3.43, 5 Dy 3.48-3.63

V	619.44	Å³/cell



From most stable to least stable, the computed energies give run one, run two.



Run one
VASP calculation (PBE) on a geometry-optimized Tb7Sm4Dy structure.

Cell lengths 5.9385, 11.6476, 6.7299 Å; angles 83.66, 63.82, 75.23 degrees
Closest atoms and distances in Å follow each position.
Atoms (fractional coordinates):
Sm  0.7678  0.6732  0.7912  5 Tb 3.30-3.66, 2 Sm 3.64
Sm  0.2322  0.3268  0.2088  5 Tb 3.30-3.66, 2 Sm 3.64
Sm  0.6398  0.2229  0.4976  7 Tb 3.37-3.69, 2 Sm 3.64
Sm  0.3602  0.7771  0.5024  7 Tb 3.37-3.69, 2 Sm 3.64
Tb  0.7883  0.9234  0.5001  4 Tb 3.14-3.43, 1 Dy 3.14, 4 Sm 3.33-3.40
Tb  0.5000  0.0000  0.0000  2 Dy 2.97, 2 Tb 3.14
Tb  0.9343  0.3164  0.8150  4 Tb 3.28-3.62, 1 Sm 3.66
Tb  0.6315  0.5025  0.2345  2 Tb 3.21-3.28, 5 Sm 3.30-3.57
Tb  0.3685  0.4975  0.7655  2 Tb 3.21-3.28, 5 Sm 3.30-3.57
Tb  0.2117  0.0766  0.4999  4 Tb 3.14-3.43, 1 Dy 3.14, 4 Sm 3.33-3.40
Tb  0.0657  0.6836  0.1850  4 Tb 3.28-3.62, 1 Sm 3.66
Dy  0.0000  0.0000  0.0000  4 Tb 2.97-3.14

V	403.94	Å³/cell



Run two
VASP calculation (PBE) on a geometry-optimized Tb7Sm4Dy structure.

Cell lengths 6.8420, 8.8152, 9.1062 Å; angles 83.84, 94.13, 47.37 degrees
Closest atoms and distances in Å follow each position.
Atoms (fractional coordinates):
Sm  0.5527  0.6391  0.2825  8 Tb 3.34-3.70, 1 Dy 3.40, 2 Sm 3.52-3.53
Sm  0.4473  0.3609  0.7175  8 Tb 3.34-3.70, 1 Dy 3.40, 2 Sm 3.52-3.53
Sm  0.7740  0.8413  0.6914  7 Tb 3.38-3.71, 2 Sm 3.52-3.53
Sm  0.2260  0.1587  0.3086  7 Tb 3.38-3.71, 2 Sm 3.52-3.53
Tb  0.2645  0.4878  0.0517  5 Tb 3.38-3.56, 4 Sm 3.39-3.71, 1 Dy 3.50
Tb  0.0150  0.6835  0.3602  5 Tb 3.39-3.74, 4 Sm 3.47-3.56
Tb  0.5000  0.0000  0.0000  4 Sm 3.38-3.66, 2 Dy 3.42, 4 Tb 3.53-3.74
Tb  0.7355  0.5122  0.9483  5 Tb 3.38-3.56, 4 Sm 3.39-3.71, 1 Dy 3.50
Tb  0.2958  0.8100  0.6150  5 Tb 3.30-3.62, 5 Sm 3.34-3.67
Tb  0.7042  0.1900  0.3850  5 Tb 3.30-3.62, 5 Sm 3.34-3.67
Tb  0.9850  0.3165  0.6398  5 Tb 3.39-3.74, 4 Sm 3.47-3.56
Dy  0.0000  0.0000  0.0000  2 Sm 3.40, 4 Tb 3.42-3.50

V	393.79	Å³/cell



From most stable to least stable, the computed energies give run two, run one.



Run one
VASP calculation (PBE) on a geometry-optimized Tb7Sm2Dy structure.

Cell lengths 6.1886, 9.4404, 9.4469 Å; angles 141.77, 70.93, 102.61 degrees
Closest atoms and distances in Å follow each position.
Atoms (fractional coordinates):
Tb  0.5001  0.2995  0.2000  7 Tb 3.56-3.57, 3 Sm 3.56-3.57, 2 Dy 3.57
Tb  0.4999  0.7005  0.8000  7 Tb 3.56-3.57, 3 Sm 3.56-3.57, 2 Dy 3.57
Tb  0.9990  0.2004  0.8008  8 Tb 3.57-3.58, 1 Dy 3.57, 3 Sm 3.57-3.58
Tb  0.0000  0.5991  0.3996  8 Tb 3.56-3.58, 2 Dy 3.56-3.57, 2 Sm 3.57-3.58
Tb  0.0000  0.4009  0.6004  8 Tb 3.56-3.58, 2 Dy 3.56-3.57, 2 Sm 3.57-3.58
Tb  0.5000  0.5000  0.0000  8 Tb 3.57-3.58, 4 Sm 3.57
Tb  0.0010  0.7996  0.1992  8 Tb 3.57-3.58, 1 Dy 3.57, 3 Sm 3.57-3.58
Dy  0.0000  0.0000  0.0000  10 Tb 3.56-3.57, 2 Sm 3.57
Sm  0.5006  0.1005  0.4000  10 Tb 3.56-3.58, 1 Dy 3.57, 1 Sm 3.58
Sm  0.4994  0.8995  0.6000  10 Tb 3.56-3.58, 1 Dy 3.57, 1 Sm 3.58

V	322.09	Å³/cell



Run two
VASP calculation (PBE) on a geometry-optimized Tb7Sm2Dy structure.

Cell lengths 3.5102, 14.7959, 14.7959 Å; angles 154.54, 90.00, 90.00 degrees
Closest atoms and distances in Å follow each position.
Atoms (fractional coordinates):
Tb  0.0000  0.1861  0.8139  6 Tb 3.48-3.51, 6 Sm 3.55-3.75
Tb  0.5000  0.6554  0.8520  7 Tb 3.21-3.51, 1 Sm 3.55
Tb  0.0000  0.8139  0.1861  6 Tb 3.48-3.51, 6 Sm 3.55-3.75
Tb  0.5000  0.3446  0.1480  7 Tb 3.21-3.51, 1 Sm 3.55
Tb  0.5000  0.1480  0.3446  7 Tb 3.21-3.51, 1 Sm 3.55
Tb  0.5000  0.8520  0.6554  7 Tb 3.21-3.51, 1 Sm 3.55
Tb  0.5000  0.5000  0.5000  6 Tb 3.28-3.51
Sm  0.5000  0.7071  0.2929  2 Sm 3.51, 8 Tb 3.55-3.75
Sm  0.5000  0.2929  0.7071  2 Sm 3.51, 8 Tb 3.55-3.75
Dy  0.0000  0.0000  0.0000  2 Dy 3.51, 12 Tb 3.70

V	330.36	Å³/cell



From most stable to least stable, the computed energies give run one, run two.



Run one
VASP calculation (PBE) on a geometry-optimized Tb6Sm4Dy structure.

Cell lengths 7.6184, 7.6184, 8.5345 Å; angles 116.51, 116.51, 90.00 degrees
Closest atoms and distances in Å follow each position.
Atoms (fractional coordinates):
Sm  0.7506  0.0952  0.8457  3 Tb 3.00-3.22, 2 Sm 3.33
Sm  0.2494  0.2494  0.1543  3 Tb 3.00-3.22, 2 Sm 3.33
Sm  0.0952  0.7506  0.8457  3 Tb 3.00-3.22, 2 Sm 3.33
Sm  0.9048  0.9048  0.1543  3 Tb 3.00-3.22, 2 Sm 3.33
Tb  0.4495  0.9215  0.3710  1 Sm 3.22, 1 Dy 3.54
Tb  0.0785  0.0785  0.6290  1 Sm 3.22, 1 Dy 3.54
Tb  0.5505  0.5505  0.6290  1 Sm 3.22, 1 Dy 3.54
Tb  0.0000  0.5000  0.0000  4 Sm 3.00
Tb  0.5000  0.0000  0.0000  4 Sm 3.00
Tb  0.9215  0.4495  0.3710  1 Sm 3.22, 1 Dy 3.54
Dy  0.5000  0.5000  0.0000  8 Tb 3.54-3.81, 4 Sm 3.68

V	384.20	Å³/cell



Run two
VASP calculation (PBE) on a geometry-optimized Tb6Sm4Dy structure.

Cell lengths 5.8073, 5.6238, 25.6724 Å; angles 90.00, 90.00, 121.09 degrees
Closest atoms and distances in Å follow each position.
Atoms (fractional coordinates):
Sm  0.4574  0.9148  0.3781  6 Tb 3.16-3.53
Sm  0.1501  0.3003  0.0443  7 Tb 3.44-3.72, 2 Sm 3.57-3.68
Sm  0.4574  0.9148  0.1219  6 Tb 3.16-3.53
Sm  0.8499  0.6997  0.5443  7 Tb 3.44-3.72, 2 Sm 3.57-3.68
Sm  0.1501  0.3003  0.4557  7 Tb 3.44-3.72, 2 Sm 3.57-3.68
Sm  0.8499  0.6997  0.9557  7 Tb 3.44-3.72, 2 Sm 3.57-3.68
Sm  0.5426  0.0852  0.6219  6 Tb 3.16-3.53
Sm  0.5426  0.0852  0.8781  6 Tb 3.16-3.53
Tb  0.4612  0.9224  0.2500  3 Dy 3.24-3.31, 2 Sm 3.29
Tb  0.5000  0.0000  0.5000  6 Sm 3.16-3.44
Tb  0.8707  0.7414  0.8172  5 Tb 3.45-3.75, 4 Sm 3.53-3.69, 3 Dy 3.63-3.74
Tb  0.1995  0.3991  0.8943  5 Sm 3.30-3.61
Tb  0.1293  0.2586  0.3172  5 Tb 3.45-3.75, 4 Sm 3.53-3.69, 3 Dy 3.63-3.74
Tb  0.8707  0.7414  0.6828  5 Tb 3.45-3.75, 4 Sm 3.53-3.69, 3 Dy 3.63-3.74
Tb  0.1293  0.2586  0.1828  5 Tb 3.45-3.75, 4 Sm 3.53-3.69, 3 Dy 3.63-3.74
Tb  0.8005  0.6009  0.1057  5 Sm 3.30-3.61
Tb  0.5000  0.0000  0.0000  6 Sm 3.16-3.44
Tb  0.5388  0.0776  0.7500  3 Dy 3.24-3.31, 2 Sm 3.29
Tb  0.8005  0.6009  0.3943  5 Sm 3.30-3.61
Tb  0.1995  0.3991  0.6057  5 Sm 3.30-3.61
Dy  0.2028  0.4056  0.7500  3 Tb 3.24-3.31
Dy  0.7972  0.5944  0.2500  3 Tb 3.24-3.31

V	718.04	Å³/cell



From most stable to least stable, the computed energies give run two, run one.